Record 1
{
  "formula": "LiTm3Pd2",
  "functional": "PBE",
  "state": "optimized geometry",
  "cell": [[4.924, 0.000, 0.000], [-2.462, 4.264, 0.000], [0.000, 0.000, 12.174]],
  "species": ["Pd", "Pd", "Pd", "Pd", "Tm", "Tm", "Tm", "Tm", "Tm", "Tm", "Li", "Li"],
  "fractional_positions": [[0.000, 0.000, 0.000], [0.333, 0.667, 0.184], [0.000, 0.000, 0.500], [0.667, 0.333, 0.816], [0.333, 0.667, 0.923], [0.667, 0.333, 0.582], [0.333, 0.667, 0.418], [0.667, 0.333, 0.077], [0.000, 0.000, 0.242], [0.000, 0.000, 0.758], [0.667, 0.333, 0.330], [0.333, 0.667, 0.670]],
  "n_ef_per_ev_cell": 9.36,
  "total_energy_ev_per_fu": -29.47,
  "crystal_system": "trigonal"
}

---

Record 2
{
  "formula": "LiTmPd14",
  "functional": "PBE",
  "state": "optimized geometry",
  "cell": [[-1.002, -2.903, -4.711], [-4.138, -2.786, 2.597], [-5.195, 5.556, -2.320]],
  "species": ["Pd", "Pd", "Pd", "Pd", "Pd", "Pd", "Pd", "Pd", "Pd", "Pd", "Pd", "Pd", "Pd", "Pd", "Li", "Tm"],
  "fractional_positions": [[0.875, 0.375, 0.500], [0.875, 0.875, 0.000], [0.375, 0.875, 0.000], [0.622, 0.128, 0.751], [0.622, 0.128, 0.249], [0.128, 0.622, 0.751], [0.622, 0.622, 0.751], [0.128, 0.622, 0.249], [0.622, 0.622, 0.249], [0.375, 0.875, 0.500], [0.375, 0.375, 0.000], [0.875, 0.375, 0.000], [0.128, 0.128, 0.249], [0.128, 0.128, 0.751], [0.375, 0.375, 0.500], [0.875, 0.875, 0.500]],
  "n_ef_per_ev_cell": 27.12,
  "total_energy_ev_per_fu": -83.36,
  "crystal_system": "tetragonal"
}

---

Record 3
{
  "formula": "Li4TmPd2",
  "functional": "PBE",
  "state": "optimized geometry",
  "cell": [[4.097, 0.000, 0.000], [0.000, 7.640, 0.000], [0.000, 0.000, 7.640]],
  "species": ["Li", "Li", "Li", "Li", "Li", "Li", "Li", "Li", "Pd", "Pd", "Pd", "Pd", "Tm", "Tm"],
  "fractional_positions": [[0.500, 0.401, 0.847], [0.000, 0.347, 0.099], [0.000, 0.099, 0.347], [0.500, 0.153, 0.599], [0.000, 0.653, 0.901], [0.500, 0.847, 0.401], [0.000, 0.901, 0.653], [0.500, 0.599, 0.153], [0.000, 0.201, 0.799], [0.500, 0.299, 0.299], [0.000, 0.799, 0.201], [0.500, 0.701, 0.701], [0.000, 0.500, 0.500], [0.500, 0.000, 0.000]],
  "n_ef_per_ev_cell": 5.58,
  "total_energy_ev_per_fu": -25.34,
  "crystal_system": "tetragonal"
}

---

Record 4
{
  "formula": "Li2TmPd7",
  "functional": "PBE",
  "state": "optimized geometry",
  "cell": [[4.358, 0.000, 0.000], [0.000, 6.802, 0.007], [0.000, -2.995, 6.107]],
  "species": ["Pd", "Pd", "Pd", "Pd", "Pd", "Pd", "Pd", "Tm", "Li", "Li"],
  "fractional_positions": [[0.000, 0.757, 0.243], [0.500, 0.688, 0.935], [0.500, 0.312, 0.065], [0.000, 0.243, 0.757], [0.500, 0.935, 0.688], [0.500, 0.065, 0.312], [0.500, 0.500, 0.500], [0.000, 0.000, 0.000], [0.500, 0.302, 0.698], [0.500, 0.698, 0.302]],
  "n_ef_per_ev_cell": 5.96,
  "total_energy_ev_per_fu": -45.05,
  "crystal_system": "orthorhombic"
}

---

Record 5
{
  "formula": "Li4TmPd",
  "functional": "PBE",
  "state": "optimized geometry",
  "cell": [[-1.687, -3.348, -3.654], [3.092, -1.247, -4.036], [2.081, -4.793, -0.320]],
  "species": ["Tm", "Li", "Li", "Li", "Li", "Pd"],
  "fractional_positions": [[0.250, 0.250, 0.250], [0.628, 0.628, 0.117], [0.628, 0.628, 0.628], [0.628, 0.117, 0.628], [0.117, 0.628, 0.628], [0.000, 0.000, 0.000]],
  "n_ef_per_ev_cell": 5.06,
  "total_energy_ev_per_fu": -17.83,
  "crystal_system": "cubic"
}

---

Record 6
{
  "formula": "LiTmPd2",
  "functional": "PBE",
  "state": "optimized geometry",
  "cell": [[3.416, 0.000, 0.000], [0.000, 3.416, 0.000], [0.000, 0.000, 5.964]],
  "species": ["Tm", "Pd", "Pd", "Li"],
  "fractional_positions": [[0.500, 0.500, 0.500], [0.000, 0.000, 0.766], [0.000, 0.000, 0.234], [0.500, 0.500, 0.000]],
  "n_ef_per_ev_cell": 0.90,
  "total_energy_ev_per_fu": -19.82,
  "crystal_system": "tetragonal"
}

---

Ordered DFT formation energy results: -0.626 -0.267 -0.404 -0.040 -0.085 -0.761; unit eV/atom.